#1
VASP calculation (PBE) on crystalline LiCePr at its relaxed geometry.

The structure in CIF format:
```
data_LiCePr
_chemical_formula_sum 'Li2 Ce2 Pr2'
_cell_length_a 3.536
_cell_length_b 3.536
_cell_length_c 13.833
_cell_angle_alpha 90.00
_cell_angle_beta 90.00
_cell_angle_gamma 90.00
_symmetry_space_group_name_H-M 'I 4 m m'
_symmetry_Int_Tables_number 107
_symmetry_space_group_name_Hall 'I 4 -2'
loop_
_atom_site_label
_atom_site_type_symbol
_atom_site_fract_x
_atom_site_fract_y
_atom_site_fract_z
Li1 Li 0.000 0.000 0.000
Ce1 Ce 0.000 0.000 0.341
Pr1 Pr 0.000 0.000 0.661
```

***

#2
VASP calculation (PBE) on crystalline LiCePr at its relaxed geometry.

The structure in CIF format:
```
data_LiCePr
_chemical_formula_sum 'Li1 Ce1 Pr1'
_cell_length_a 3.4643
_cell_length_b 3.4643
_cell_length_c 8.5344
_cell_angle_alpha 90.00
_cell_angle_beta 90.00
_cell_angle_gamma 120.00
_symmetry_space_group_name_H-M 'P 3 m 1'
_symmetry_Int_Tables_number 156
_symmetry_space_group_name_Hall 'P 3 -2"'
loop_
_atom_site_label
_atom_site_type_symbol
_atom_site_fract_x
_atom_site_fract_y
_atom_site_fract_z
Li1 Li 0.0000 0.0000 0.0000
Ce1 Ce 0.6667 0.3333 0.3237
Pr1 Pr 0.3333 0.6667 0.6689
```

***

Q: Which of them is the least stable? A: #1.

***

#1
VASP calculation (PBE) on crystalline LiCePt at its relaxed geometry.

The structure in CIF format:
```
data_LiCePt
_chemical_formula_sum 'Li1 Ce1 Pt1'
_cell_length_a 4.3662
_cell_length_b 4.3662
_cell_length_c 3.7190
_cell_angle_alpha 90.00
_cell_angle_beta 90.00
_cell_angle_gamma 120.00
_symmetry_space_group_name_H-M 'P -6 m 2'
_symmetry_Int_Tables_number 187
_symmetry_space_group_name_Hall 'P -6 2'
loop_
_atom_site_label
_atom_site_type_symbol
_atom_site_fract_x
_atom_site_fract_y
_atom_site_fract_z
Li1 Li 0.0000 0.0000 0.0000
Ce1 Ce 0.3333 0.6667 0.5000
Pt1 Pt 0.6667 0.3333 0.0000
```

***

#2
VASP calculation (PBE) on crystalline LiCePt at its relaxed geometry.

The structure in CIF format:
```
data_LiCePt
_chemical_formula_sum 'Li4 Ce4 Pt4'
_cell_length_a 6.635
_cell_length_b 6.635
_cell_length_c 6.635
_cell_angle_alpha 90.00
_cell_angle_beta 90.00
_cell_angle_gamma 90.00
_symmetry_space_group_name_H-M 'F -4 3 m'
_symmetry_Int_Tables_number 216
_symmetry_space_group_name_Hall 'F -4 2 3'
loop_
_atom_site_label
_atom_site_type_symbol
_atom_site_fract_x
_atom_site_fract_y
_atom_site_fract_z
Li1 Li 0.000 0.000 0.000
Ce1 Ce 0.000 0.000 0.500
Pt1 Pt 0.250 0.250 0.750
```

***

Q: Which of them is the least stable? A: #2.

***

#1
VASP calculation (PBE) on crystalline LiCePt at its relaxed geometry.

The structure in CIF format:
```
data_LiCePt
_chemical_formula_sum 'Li6 Ce6 Pt6'
_cell_length_a 7.304
_cell_length_b 4.033
_cell_length_c 12.599
_cell_angle_alpha 90.00
_cell_angle_beta 90.60
_cell_angle_gamma 90.00
_symmetry_space_group_name_H-M 'P 1 21/m 1'
_symmetry_Int_Tables_number 11
_symmetry_space_group_name_Hall '-P 2yb'
loop_
_atom_site_label
_atom_site_type_symbol
_atom_site_fract_x
_atom_site_fract_y
_atom_site_fract_z
Li1 Li 0.012 0.250 0.080
Li2 Li 0.123 0.750 0.538
Li3 Li 0.378 0.250 0.199
Ce1 Ce 0.056 0.750 0.287
Ce2 Ce 0.330 0.250 0.919
Ce3 Ce 0.451 0.250 0.625
Pt1 Pt 0.240 0.750 0.752
Pt2 Pt 0.259 0.250 0.415
Pt3 Pt 0.259 0.750 0.081
```

***

#2
VASP calculation (PBE) on crystalline LiCePt at its relaxed geometry.

The structure in CIF format:
```
data_LiCePt
_chemical_formula_sum 'Li3 Ce3 Pt3'
_cell_length_a 7.2004
_cell_length_b 7.2004
_cell_length_c 4.1423
_cell_angle_alpha 90.00
_cell_angle_beta 90.00
_cell_angle_gamma 120.00
_symmetry_space_group_name_H-M 'P -6 2 m'
_symmetry_Int_Tables_number 189
_symmetry_space_group_name_Hall 'P -6 -2'
loop_
_atom_site_label
_atom_site_type_symbol
_atom_site_fract_x
_atom_site_fract_y
_atom_site_fract_z
Li1 Li 0.0000 0.7700 0.0000
Ce1 Ce 0.0000 0.4123 0.5000
Pt1 Pt 0.0000 0.0000 0.5000
Pt2 Pt 0.3333 0.6667 0.0000
```

***

Q: Which of them is the least stable? A: #2.

***

#1
VASP calculation (PBE) on crystalline LiCe2Pt4 at its relaxed geometry.

The structure in CIF format:
```
data_LiCe2Pt4
_chemical_formula_sum 'Li2 Ce4 Pt8'
_cell_length_a 6.187
_cell_length_b 6.187
_cell_length_c 7.907
_cell_angle_alpha 90.00
_cell_angle_beta 90.00
_cell_angle_gamma 90.00
_symmetry_space_group_name_H-M 'I 4/m m m'
_symmetry_Int_Tables_number 139
_symmetry_space_group_name_Hall '-I 4 2'
loop_
_atom_site_label
_atom_site_type_symbol
_atom_site_fract_x
_atom_site_fract_y
_atom_site_fract_z
Li1 Li 0.000 0.000 0.000
Ce1 Ce 0.000 0.500 0.250
Pt1 Pt 0.220 0.220 0.500
```

***

#2
VASP calculation (PBE) on crystalline LiCe2Pt4 at its relaxed geometry.

The structure in CIF format:
```
data_LiCe2Pt4
_chemical_formula_sum 'Li2 Ce4 Pt8'
_cell_length_a 4.341
_cell_length_b 4.341
_cell_length_c 14.719
_cell_angle_alpha 90.00
_cell_angle_beta 90.00
_cell_angle_gamma 90.00
_symmetry_space_group_name_H-M 'I 4/m m m'
_symmetry_Int_Tables_number 139
_symmetry_space_group_name_Hall '-I 4 2'
loop_
_atom_site_label
_atom_site_type_symbol
_atom_site_fract_x
_atom_site_fract_y
_atom_site_fract_z
Li1 Li 0.000 0.000 0.000
Ce1 Ce 0.000 0.000 0.347
Pt1 Pt 0.000 0.000 0.158
Pt2 Pt 0.000 0.500 0.000
```

***

Q: Which of them is the least stable? A: #2.

***

#1
VASP calculation (PBE) on crystalline LiCe2Pt9 at its relaxed geometry.

The structure in CIF format:
```
data_LiCe2Pt9
_chemical_formula_sum 'Li3 Ce6 Pt27'
_cell_length_a 5.4259
_cell_length_b 5.4259
_cell_length_c 26.6015
_cell_angle_alpha 90.00
_cell_angle_beta 90.00
_cell_angle_gamma 120.00
_symmetry_space_group_name_H-M 'R -3 m'
_symmetry_Int_Tables_number 166
_symmetry_space_group_name_Hall '-R 3 2"'
loop_
_atom_site_label
_atom_site_type_symbol
_atom_site_fract_x
_atom_site_fract_y
_atom_site_fract_z
Li1 Li 0.0000 0.0000 0.0000
Ce1 Ce 0.0000 0.0000 0.1361
Pt1 Pt 0.0000 0.0000 0.3323
Pt2 Pt 0.0000 0.0000 0.5000
Pt3 Pt 0.0045 0.5022 0.9155
```

***

#2
VASP calculation (PBE) on crystalline LiCe2Pt9 at its relaxed geometry.

The structure in CIF format:
```
data_LiCe2Pt9
_chemical_formula_sum 'Li1 Ce2 Pt9'
_cell_length_a 4.109
_cell_length_b 4.109
_cell_length_c 12.100
_cell_angle_alpha 90.00
_cell_angle_beta 90.00
_cell_angle_gamma 90.00
_symmetry_space_group_name_H-M 'P 4/m m m'
_symmetry_Int_Tables_number 123
_symmetry_space_group_name_Hall '-P 4 2'
loop_
_atom_site_label
_atom_site_type_symbol
_atom_site_fract_x
_atom_site_fract_y
_atom_site_fract_z
Li1 Li 0.000 0.000 0.000
Ce1 Ce 0.000 0.000 0.322
Pt1 Pt 0.000 0.500 0.152
Pt2 Pt 0.000 0.500 0.500
Pt3 Pt 0.500 0.500 0.000
Pt4 Pt 0.500 0.500 0.327
```

***

Q: Which of them is the least stable? A: #1.

***

#1
VASP calculation (PBE) on crystalline Li3CePt2 at its relaxed geometry.

The structure in CIF format:
```
data_Li3CePt2
_chemical_formula_sum 'Li6 Ce2 Pt4'
_cell_length_a 4.625
_cell_length_b 14.517
_cell_length_c 2.964
_cell_angle_alpha 90.00
_cell_angle_beta 90.00
_cell_angle_gamma 90.00
_symmetry_space_group_name_H-M 'C m m m'
_symmetry_Int_Tables_number 65
_symmetry_space_group_name_Hall '-C 2 2'
loop_
_atom_site_label
_atom_site_type_symbol
_atom_site_fract_x
_atom_site_fract_y
_atom_site_fract_z
Li1 Li 0.000 0.000 0.000
Li2 Li 0.000 0.297 0.000
Ce1 Ce 0.000 0.500 0.500
Pt1 Pt 0.000 0.140 0.500
```

***

#2
VASP calculation (PBE) on crystalline Li3CePt2 at its relaxed geometry.

The structure in CIF format:
```
data_Li3CePt2
_chemical_formula_sum 'Li12 Ce4 Pt8'
_cell_length_a 13.882
_cell_length_b 4.028
_cell_length_c 8.893
_cell_angle_alpha 90.00
_cell_angle_beta 122.80
_cell_angle_gamma 90.00
_symmetry_space_group_name_H-M 'C 1 2/m 1'
_symmetry_Int_Tables_number 12
_symmetry_space_group_name_Hall '-C 2y'
loop_
_atom_site_label
_atom_site_type_symbol
_atom_site_fract_x
_atom_site_fract_y
_atom_site_fract_z
Li1 Li 0.064 0.000 0.405
Li2 Li 0.076 0.500 0.685
Li3 Li 0.227 0.500 0.568
Ce1 Ce 0.129 0.000 0.008
Pt1 Pt 0.066 0.500 0.199
Pt2 Pt 0.208 0.000 0.756
```

***

Q: Which of them is the least stable? A: #1.